Crystalline Rh2PbCl at its relaxed geometry. Source: Alexandria via LeMat-Bulk, functional PBEsol.

Properties
E = -5.18 eV per atom
Energy relative to the elements, uncorrected = 0.39 eV/atom
Space group = C2/m, No. 12

Lattice parameters (Å, degrees): 3.076 4.981 5.346 117.26 105.95 91.57
Fractional coordinates of all 4 atoms:
Cl (0.500, 0.000, 0.000)
Pb (0.000, 0.500, 0.000)
Rh (0.000, 0.000, 0.500)
Rh (0.500, 0.500, 0.500)

Crystalline Rh2PbCl at its relaxed geometry. Source: Alexandria via LeMat-Bulk, functional PBEsol.

Properties
E = -5.20 eV per atom
Energy relative to the elements, uncorrected = 0.37 eV/atom
Space group = Fm-3m, No. 225

Lattice parameters (Å, degrees): 4.558 4.558 4.558 60.00 60.00 60.00
Last column: magnetic moment on the atom in μB.
Fractional coordinates of all 4 atoms:
Cl (0.000, 0.000, 0.000)  0.06
Pb (0.500, 0.500, 0.500)  -0.02
Rh (0.250, 0.250, 0.250)  0.41
Rh (0.750, 0.750, 0.750)  0.41

Crystalline Rh2PbCl at its relaxed geometry. Source: Alexandria via LeMat-Bulk, functional PBEsol.

Properties
E = -5.50 eV per atom
Energy relative to the elements, uncorrected = 0.07 eV/atom
Space group = Pm, No. 6

Lattice parameters (Å, degrees): 2.965 3.464 7.487 90.00 101.26 90.00
Fractional coordinates of all 4 atoms:
Cl (0.654, 0.000, 0.436)
Pb (0.339, 0.500, 0.798)
Rh (0.960, 0.000, 0.044)
Rh (0.547, 0.500, 0.221)

Crystalline Rh2PbCl at its relaxed geometry. Source: Alexandria via LeMat-Bulk, functional PBEsol.

Properties
E = -5.34 eV per atom
Energy relative to the elements, uncorrected = 0.23 eV/atom
Space group = Imm2, No. 44

Lattice parameters (Å, degrees): 2.984 3.974 6.461 107.91 103.35 90.00
Fractional coordinates of all 4 atoms:
Cl (0.517, 0.517, 0.034)
Pb (0.293, 0.793, 0.587)
Rh (0.998, 0.998, 0.996)
Rh (0.692, 0.192, 0.383)

Crystalline RhPbCl2 at its relaxed geometry. Source: Alexandria via LeMat-Bulk, functional PBEsol.

Properties
E = -4.13 eV per atom
Energy relative to the elements, uncorrected = -0.10 eV/atom
Space group = P4mm, No. 99

Lattice parameters (Å, degrees): 3.801 3.801 7.184 90.00 90.00 90.00
Fractional coordinates of all 4 atoms:
Pb (0.000, 0.000, 0.625)
Rh (0.500, 0.500, 0.605)
Cl (0.000, 0.000, 0.971)
Cl (0.500, 0.500, 0.299)

Crystalline SnRhPbCl2 at its relaxed geometry. Source: Alexandria via LeMat-Bulk, functional PBEsol.

Properties
E = -4.23 eV per atom
Energy relative to the elements, uncorrected = -0.15 eV/atom
Space group = P4/mmm, No. 123

Lattice parameters (Å, degrees): 4.682 4.682 5.326 90.00 90.00 90.00
Fractional coordinates of all 5 atoms:
Pb (0.500, 0.500, 0.500)
Rh (0.000, 0.000, 0.000)
Sn (0.000, 0.000, 0.500)
Cl (0.000, 0.500, 0.000)
Cl (0.500, 0.000, 0.000)

Crystalline RuPb3Cl at its relaxed geometry. Source: Alexandria via LeMat-Bulk, functional PBEsol.

Properties
E = -4.84 eV per atom
Energy relative to the elements, uncorrected = 0.00 eV/atom
Space group = Pm-3m, No. 221

Lattice parameters (Å, degrees): 5.202 5.202 5.202 90.00 90.00 90.00
Fractional coordinates of all 5 atoms:
Pb (0.000, 0.500, 0.000)
Pb (0.000, 0.000, 0.500)
Pb (0.500, 0.000, 0.000)
Ru (0.000, 0.000, 0.000)
Cl (0.500, 0.500, 0.500)

Crystalline RuPbCl at its relaxed geometry. Source: Alexandria via LeMat-Bulk, functional PBEsol.

Properties
E = -4.99 eV per atom
Energy relative to the elements, uncorrected = 0.40 eV/atom
Space group = Fmm2, No. 42

Lattice parameters (Å, degrees): 3.055 3.163 7.470 84.33 78.20 61.11
Fractional coordinates of all 3 atoms:
Pb (0.684, 0.000, 0.632)
Ru (0.349, 0.000, 0.302)
Cl (0.967, 0.000, 0.066)

Crystalline RuPbCl at its relaxed geometry. Source: Alexandria via LeMat-Bulk, functional PBEsol.

Properties
E = -4.31 eV per atom
Energy relative to the elements, uncorrected = 1.08 eV/atom
Space group = F-43m, No. 216

Lattice parameters (Å, degrees): 4.687 4.687 4.687 60.00 60.00 60.00
Last column: magnetic moment on the atom in μB.
Fractional coordinates of all 3 atoms:
Pb (0.250, 0.250, 0.250)  -0.04
Ru (0.000, 0.000, 0.000)  1.55
Cl (0.500, 0.500, 0.500)  0.09

Crystalline Sb2RuPbCl at its relaxed geometry. Source: Alexandria via LeMat-Bulk, functional PBEsol.

Properties
E = -3.65 eV per atom
Energy relative to the elements, uncorrected = 1.41 eV/atom
Space group = P4/mmm, No. 123

Lattice parameters (Å, degrees): 5.099 5.653 5.653 90.00 90.00 90.00
Last column: magnetic moment on the atom in μB.
Fractional coordinates of all 5 atoms:
Pb (0.000, 0.000, 0.000)  -0.02
Sb (0.000, 0.000, 0.500)  -0.09
Sb (0.000, 0.500, 0.000)  -0.09
Cl (0.500, 0.500, 0.500)  -0.02
Ru (0.500, 0.000, 0.000)  1.68

Crystalline TeRuPb2Cl at its relaxed geometry. Source: Alexandria via LeMat-Bulk, functional PBEsol.

Properties
E = -3.42 eV per atom
Energy relative to the elements, uncorrected = 1.32 eV/atom
Space group = P4/mmm, No. 123

Lattice parameters (Å, degrees): 5.018 5.906 5.906 90.00 90.00 90.00
Last column: magnetic moment on the atom in μB.
Fractional coordinates of all 5 atoms:
Pb (0.000, 0.000, 0.500)  -0.07
Pb (0.000, 0.500, 0.000)  -0.07
Ru (0.500, 0.500, 0.500)  2.33
Te (0.000, 0.000, 0.000)  0.00
Cl (0.500, 0.000, 0.000)  -0.01

Crystalline Sb10Pb10S24Cl3 at its relaxed geometry. Source: Alexandria via LeMat-Bulk, functional PBEsol.

Properties
E = -4.63 eV per atom
Energy relative to the elements, uncorrected = -0.45 eV/atom
Space group = P2/m, No. 10

Lattice parameters (Å, degrees): 3.918 14.918 19.307 95.06 90.00 90.00
Fractional coordinates of all 47 atoms:
Sb (0.000, 0.476, 0.819)
Sb (0.000, 0.524, 0.181)
Sb (0.000, 0.925, 0.416)
Sb (0.000, 0.075, 0.584)
Sb (0.000, 0.375, 0.986)
Sb (0.000, 0.625, 0.014)
Sb (0.000, 0.971, 0.779)
Sb (0.000, 0.029, 0.221)
Sb (0.000, 0.836, 0.616)
Sb (0.000, 0.164, 0.384)
Pb (0.500, 0.727, 0.853)
Pb (0.500, 0.273, 0.147)
Pb (0.500, 0.783, 0.253)
Pb (0.500, 0.217, 0.747)
Pb (0.500, 0.688, 0.452)
Pb (0.500, 0.312, 0.548)
Pb (0.500, 0.126, 0.944)
Pb (0.500, 0.874, 0.056)
Pb (0.500, 0.591, 0.654)
Pb (0.500, 0.409, 0.346)
S (0.000, 0.770, 0.961)
S (0.000, 0.230, 0.039)
S (0.000, 0.871, 0.169)
S (0.000, 0.129, 0.831)
S (0.000, 0.769, 0.362)
S (0.000, 0.231, 0.638)
S (0.500, 0.562, 0.917)
S (0.500, 0.438, 0.083)
S (0.000, 0.682, 0.562)
S (0.000, 0.318, 0.438)
S (0.500, 0.423, 0.736)
S (0.500, 0.577, 0.264)
S (0.000, 0.622, 0.766)
S (0.000, 0.378, 0.234)
S (0.500, 0.314, 0.903)
S (0.500, 0.686, 0.097)
S (0.500, 0.938, 0.860)
S (0.500, 0.062, 0.140)
S (0.500, 0.875, 0.506)
S (0.500, 0.125, 0.494)
S (0.500, 0.793, 0.696)
S (0.500, 0.207, 0.304)
S (0.500, 0.962, 0.324)
S (0.500, 0.038, 0.676)
Cl (0.000, 0.462, 0.588)
Cl (0.000, 0.538, 0.412)
Cl (0.000, 0.000, 0.000)